Record 1
UNiC: optimized geometry, GGA-PBE.

Cell: 2.718 2.718 5.831 Å, 103.48 103.48 90.00°
Element x y z (fractional)
U  0.928  0.928  0.856
C  0.728  0.728  0.456
Ni  0.194  0.194  0.388

Output
E   -7.979 eV/atom
Magnetization   0.000 μB per formula unit
DFT formation energy   18.1 kcal/mol of atoms
SG   No. 107
Relative energy among the computed polymorphs   808 meV/atom

---

Record 2
ScSnPCl2: optimized geometry, GGA-PBE.

Cell: 5.137 5.137 5.268 Å, 90.00 90.00 90.00°
Last column: magnetic moment on the atom in μB.
Element x y z (fractional)
P  0.000  0.000  0.500  -0.04
Sc  0.500  0.500  0.500  0.72
Cl  0.000  0.500  0.000  0.00
Cl  0.500  0.000  0.000  0.00
Sn  0.000  0.000  0.000  0.01

Output
ΔE_f (raw)   -77.6 meV per atom
E   -3.965 eV/atom
Magnetization   0.858 μB per formula unit
SG   No. 123
Relative energy among the computed polymorphs   739 meV/atom

---

Copy entry 2 word for word.
ScSnPCl2: optimized geometry, GGA-PBE.

Cell: 5.137 5.137 5.268 Å, 90.00 90.00 90.00°
Last column: magnetic moment on the atom in μB.
Element x y z (fractional)
P  0.000  0.000  0.500  -0.04
Sc  0.500  0.500  0.500  0.72
Cl  0.000  0.500  0.000  0.00
Cl  0.500  0.000  0.000  0.00
Sn  0.000  0.000  0.000  0.01

Output
ΔE_f (raw)   -77.6 meV per atom
E   -3.965 eV/atom
Magnetization   0.858 μB per formula unit
SG   No. 123
Relative energy among the computed polymorphs   739 meV/atom

---

> Look up the relative energy among the computed polymorphs of the first one.

808 meV/atom

---

> magnetization of number 2 (ScSnPCl2)?

0.858 μB per formula unit

---

> Look up the E of the second one.

-3.965 eV/atom